Density functional theory data (PBE) for a relaxed Pm12SmY3 crystal.

Calculated values
Spin magnetization = 0.00 μB/cell
Calculated formation energy = 1.3 kJ/mol of atoms
Symmetry = P4/mmm (123)

a b c (Å): 5.142 5.142 20.526
angles (deg): 90.00 90.00 90.00
Positions (direct):
Pm: 0.000 0.000 0.000
Pm: 0.000 0.000 0.249
Pm: 0.000 0.000 0.500
Pm: 0.000 0.000 0.751
Pm: 0.000 0.500 0.125
Pm: 0.000 0.500 0.375
Pm: 0.000 0.500 0.625
Pm: 0.000 0.500 0.875
Pm: 0.500 0.000 0.125
Pm: 0.500 0.000 0.375
Pm: 0.500 0.000 0.625
Pm: 0.500 0.000 0.875
Sm: 0.500 0.500 0.500
Y: 0.500 0.500 0.000
Y: 0.500 0.500 0.250
Y: 0.500 0.500 0.750

Density functional theory data (PBE) for a relaxed PmSm6Y3 crystal.

Calculated values
Spin magnetization = 0.00 μB/cell
Calculated formation energy = 13.4 kJ/mol of atoms
Distance to the lowest polymorph of the same formula = 0.013 eV/atom
Symmetry = Cmc2_1 (36)

a b c (Å): 11.189 11.189 6.225
angles (deg): 90.00 90.00 120.08
Positions (direct):
Pm: 0.201 0.799 0.500
Pm: 0.799 0.201 0.000
Sm: 0.043 0.957 0.702
Sm: 0.049 0.470 0.247
Sm: 0.280 0.720 0.983
Sm: 0.290 0.378 0.083
Sm: 0.378 0.290 0.583
Sm: 0.470 0.049 0.747
Sm: 0.530 0.951 0.247
Sm: 0.622 0.710 0.083
Sm: 0.710 0.622 0.583
Sm: 0.720 0.280 0.483
Sm: 0.951 0.530 0.747
Sm: 0.957 0.043 0.202
Y: 0.058 0.282 0.655
Y: 0.282 0.058 0.155
Y: 0.386 0.614 0.545
Y: 0.614 0.386 0.045
Y: 0.718 0.942 0.655
Y: 0.942 0.718 0.155

Density functional theory data (PBE) for a relaxed Pm7Sm2Y3 crystal.

Calculated values
Spin magnetization = 0.00 μB/cell
Calculated formation energy = 9.2 kJ/mol of atoms
Distance to the lowest polymorph of the same formula = 0.014 eV/atom
Symmetry = P-1 (2)

a b c (Å): 3.645 5.781 19.648
angles (deg): 93.86 95.30 90.01
Positions (direct):
Pm: 0.000 0.000 0.000
Pm: 0.070 0.671 0.141
Pm: 0.271 0.259 0.543
Pm: 0.411 0.825 0.821
Pm: 0.589 0.175 0.179
Pm: 0.729 0.741 0.457
Pm: 0.930 0.329 0.859
Sm: 0.356 0.292 0.710
Sm: 0.644 0.708 0.290
Y: 0.179 0.220 0.359
Y: 0.500 0.500 0.000
Y: 0.821 0.780 0.641

Density functional theory data (PBE) for a relaxed Pm12Sm6Y crystal.

Calculated values
Spin magnetization = 0.00 μB/cell
Calculated formation energy = 39.8 kJ/mol of atoms
Distance to the lowest polymorph of the same formula = 0.277 eV/atom
Symmetry = R-3m (166)

a b c (Å): 9.624 9.624 9.624
angles (deg): 109.35 109.35 109.35
Positions (direct):
Pm: 0.000 0.393 0.607
Pm: 0.000 0.607 0.393
Pm: 0.120 0.120 0.324
Pm: 0.120 0.324 0.120
Pm: 0.324 0.120 0.120
Pm: 0.393 0.000 0.607
Pm: 0.393 0.607 0.000
Pm: 0.607 0.000 0.393
Pm: 0.607 0.393 0.000
Pm: 0.676 0.880 0.880
Pm: 0.880 0.676 0.880
Pm: 0.880 0.880 0.676
Sm: 0.170 0.170 0.724
Sm: 0.170 0.724 0.170
Sm: 0.276 0.830 0.830
Sm: 0.724 0.170 0.170
Sm: 0.830 0.276 0.830
Sm: 0.830 0.830 0.276
Y: 0.500 0.500 0.500

Density functional theory data (PBE) for a relaxed Pm5Sm4Y crystal.

Calculated values
Spin magnetization = 0.00 μB/cell
Calculated formation energy = 14.3 kJ/mol of atoms
Distance to the lowest polymorph of the same formula = 0.000 eV/atom
Symmetry = C2/m (12)

a b c (Å): 14.465 14.465 6.906
angles (deg): 96.89 96.89 13.88
Positions (direct):
Pm: 0.000 0.000 0.000
Pm: 0.294 0.294 0.395
Pm: 0.299 0.299 0.899
Pm: 0.701 0.701 0.101
Pm: 0.706 0.706 0.605
Sm: 0.107 0.107 0.310
Sm: 0.406 0.406 0.201
Sm: 0.594 0.594 0.799
Sm: 0.893 0.893 0.690
Y: 0.000 0.000 0.500

Density functional theory data (PBE) for a relaxed PmSmY2 crystal.

Calculated values
Spin magnetization = 0.00 μB/cell
Calculated formation energy = 1.2 kJ/mol of atoms
Distance to the lowest polymorph of the same formula = 0.000 eV/atom
Symmetry = R-3m (166)

a b c (Å): 11.888 11.888 11.888
angles (deg): 17.46 17.46 17.46
Positions (direct):
Pm: 0.000 0.000 0.000
Sm: 0.500 0.500 0.500
Y: 0.250 0.250 0.250
Y: 0.750 0.750 0.750

Density functional theory data (PBE) for a relaxed PmSm5Y8 crystal.

Calculated values
Spin magnetization = 0.00 μB/cell
Calculated formation energy = 22.6 kJ/mol of atoms
Symmetry = I-4 (82)

a b c (Å): 8.510 8.510 8.510
angles (deg): 111.23 111.23 106.01
Positions (direct):
Pm: 0.000 0.000 0.000
Sm: 0.038 0.436 0.823
Sm: 0.250 0.750 0.500
Sm: 0.564 0.387 0.603
Sm: 0.613 0.215 0.177
Sm: 0.785 0.962 0.397
Y: 0.087 0.328 0.408
Y: 0.277 0.172 0.751
Y: 0.321 0.913 0.240
Y: 0.421 0.526 0.249
Y: 0.474 0.723 0.895
Y: 0.672 0.080 0.760
Y: 0.828 0.579 0.105
Y: 0.920 0.679 0.592

Density functional theory data (PBE) for a relaxed PmSm2Y12 crystal.

Calculated values
Spin magnetization = 0.00 μB/cell
Calculated formation energy = 16.4 kJ/mol of atoms
Symmetry = Cmme (67)

a b c (Å): 6.714 6.714 24.911
angles (deg): 90.00 90.00 116.33
Positions (direct):
Pm: 0.250 0.750 0.000
Pm: 0.750 0.250 0.000
Sm: 0.250 0.750 0.270
Sm: 0.250 0.750 0.734
Sm: 0.750 0.250 0.266
Sm: 0.750 0.250 0.730
Y: 0.001 0.501 0.128
Y: 0.001 0.999 0.922
Y: 0.011 0.511 0.585
Y: 0.014 0.986 0.439
Y: 0.250 0.250 0.200
Y: 0.250 0.250 0.327
Y: 0.250 0.250 0.673
Y: 0.250 0.250 0.800
Y: 0.486 0.514 0.439
Y: 0.489 0.989 0.585
Y: 0.499 0.501 0.922
Y: 0.499 0.999 0.128
Y: 0.501 0.001 0.872
Y: 0.501 0.499 0.078
Y: 0.511 0.011 0.415
Y: 0.514 0.486 0.561
Y: 0.750 0.750 0.200
Y: 0.750 0.750 0.327
Y: 0.750 0.750 0.673
Y: 0.750 0.750 0.800
Y: 0.986 0.014 0.561
Y: 0.989 0.489 0.415
Y: 0.999 0.001 0.078
Y: 0.999 0.499 0.872

Q: Which value of spin magnetization does entry 8 give?
A: 0.00 μB/cell

Copy entry 8 word for word.
Density functional theory data (PBE) for a relaxed PmSm2Y12 crystal.

Calculated values
Spin magnetization = 0.00 μB/cell
Calculated formation energy = 16.4 kJ/mol of atoms
Symmetry = Cmme (67)

a b c (Å): 6.714 6.714 24.911
angles (deg): 90.00 90.00 116.33
Positions (direct):
Pm: 0.250 0.750 0.000
Pm: 0.750 0.250 0.000
Sm: 0.250 0.750 0.270
Sm: 0.250 0.750 0.734
Sm: 0.750 0.250 0.266
Sm: 0.750 0.250 0.730
Y: 0.001 0.501 0.128
Y: 0.001 0.999 0.922
Y: 0.011 0.511 0.585
Y: 0.014 0.986 0.439
Y: 0.250 0.250 0.200
Y: 0.250 0.250 0.327
Y: 0.250 0.250 0.673
Y: 0.250 0.250 0.800
Y: 0.486 0.514 0.439
Y: 0.489 0.989 0.585
Y: 0.499 0.501 0.922
Y: 0.499 0.999 0.128
Y: 0.501 0.001 0.872
Y: 0.501 0.499 0.078
Y: 0.511 0.011 0.415
Y: 0.514 0.486 0.561
Y: 0.750 0.750 0.200
Y: 0.750 0.750 0.327
Y: 0.750 0.750 0.673
Y: 0.750 0.750 0.800
Y: 0.986 0.014 0.561
Y: 0.989 0.489 0.415
Y: 0.999 0.001 0.078
Y: 0.999 0.499 0.872

Q: Number 6 is which compound?
A: PmSmY2